# Tb5Er2Tm5

An optimized crystal structure of Tb5Er2Tm5 (PBE, Alexandria via LeMat-Bulk).

Output
total magnetic moment	0.0	μB/cell
theoretical density	8.9	g cm⁻³
ΔH_f (0 K)	21	meV/atom

Structure (POSCAR):
```
Tb5Er2Tm5
1.0
7.449 -2.484 0.000
7.449 2.484 0.000
-4.966 0.000 9.941
Tb Er Tm
5 2 5
Direct
0.000 0.000 0.000
0.166 0.166 0.499
0.250 0.250 0.249
0.750 0.750 0.751
0.834 0.834 0.501
0.083 0.083 0.751
0.917 0.917 0.249
0.333 0.333 0.000
0.417 0.417 0.750
0.500 0.500 0.500
0.583 0.583 0.250
0.667 0.667 0.000
```